A plane-wave DFT calculation with PBE was carried out for In2FeTe after structural relaxation.

As for the total moment: 2.30 μB per formula unit. As for the total energy: -3.7123 eV per atom.

```
data_In2FeTe
_symmetry_space_group_name_H-M 'F -4 3 m'
_symmetry_Int_Tables_number 216
_symmetry_space_group_name_Hall 'F -4 2 3'
_cell_length_a 7.015
_cell_length_b 7.015
_cell_length_c 7.015
_cell_angle_alpha 90.00
_cell_angle_beta 90.00
_cell_angle_gamma 90.00
loop_
_atom_site_label
_atom_site_type_symbol
_atom_site_fract_x
_atom_site_fract_y
_atom_site_fract_z
In1 In 0.000 0.000 0.000
In2 In 0.250 0.250 0.250
Fe1 Fe 0.000 0.000 0.500
Te1 Te 0.250 0.250 0.750
```